PuGa6Ir3: optimized geometry, PBE-GGA.

a = 8.2458 Å, b = 4.2232 Å, c = 9.9505 Å
α = 90.00°, β = 97.99°, γ = 90.00°
Closest atoms and distances in Å follow each position.
Sites, in units of the cell vectors:
Pu 0.0577 0.2500 0.2769  5 Ir 2.95-3.28, 8 Ga 3.00-3.23
Pu 0.9423 0.7500 0.7231  5 Ir 2.95-3.28, 8 Ga 3.00-3.23
Ga 0.1289 0.2500 0.5939  3 Ir 2.57-2.68
Ga 0.1305 0.7500 0.0244  1 Ga 2.63, 3 Ir 2.66-2.69
Ga 0.3147 0.7500 0.2618  3 Ir 2.48-2.50, 4 Ga 2.63-2.77
Ga 0.3148 0.7500 0.7590  4 Ir 2.59-2.80, 2 Ga 2.76
Ga 0.4300 0.2500 0.4283  4 Ir 2.65-2.80, 4 Ga 2.72-2.77
Ga 0.4580 0.2500 0.9096  4 Ir 2.52-2.62, 5 Ga 2.70-2.80
Ga 0.5420 0.7500 0.0904  4 Ir 2.52-2.62, 5 Ga 2.70-2.80
Ga 0.5700 0.7500 0.5717  4 Ir 2.65-2.80, 4 Ga 2.72-2.77
Ga 0.6852 0.2500 0.2410  4 Ir 2.59-2.80, 2 Ga 2.76
Ga 0.6853 0.2500 0.7382  3 Ir 2.48-2.50, 4 Ga 2.63-2.77
Ga 0.8695 0.2500 0.9756  1 Ga 2.63, 3 Ir 2.66-2.69
Ga 0.8711 0.7500 0.4061  3 Ir 2.57-2.68
Ir 0.1487 0.2500 0.8652  7 Ga 2.53-2.80
Ir 0.2481 0.7500 0.4973  7 Ga 2.48-2.73
Ir 0.3741 0.2500 0.1438  6 Ga 2.50-2.62
Ir 0.6259 0.7500 0.8562  6 Ga 2.50-2.62
Ir 0.7519 0.2500 0.5027  7 Ga 2.48-2.73
Ir 0.8513 0.7500 0.1348  7 Ga 2.53-2.80

Energy of formation   -0.44 eV/atom
Total energy   -63.47 eV/f.u.
Symmetry   P2_1/m